(1)
KTl2Si | Alexandria via LeMat-Bulk | GGA-PBE | optimized geometry; distance to the lowest polymorph of the same formula = 176 meV per atom; raw formation energy = 0.2940 eV/atom; energy = -2.52 eV/atom; magnetization = 0.00 Bohr magnetons per cell; space-group type = No. 119
1.0
-2.710 2.710 3.917
2.710 -2.710 3.917
2.710 2.710 -3.917
K Tl Si
1 2 1
Direct
0.000 0.000 0.000
0.500 0.500 0.000
0.750 0.250 0.500
0.250 0.750 0.500



(2)
Zr3InBi | Alexandria via LeMat-Bulk | GGA-PBE | optimized geometry; distance to the lowest polymorph of the same formula = 959 meV per atom; formation enthalpy at 0 K = 3.76 eV/f.u.; energy = -5.70 eV/atom; magnetization = 0.00 Bohr magnetons per cell; space-group type = No. 221
1.0
5.293 0.000 0.000
0.000 5.293 0.000
0.000 0.000 5.293
Zr In Bi
3 1 1
Direct
0.000 0.000 0.500
0.000 0.500 0.000
0.500 0.000 0.000
0.000 0.000 0.000
0.500 0.500 0.500



(3)
AlCo2As | Alexandria via LeMat-Bulk | GGA-PBE | optimized geometry; distance to the lowest polymorph of the same formula = 108 meV per atom; formation enthalpy at 0 K = -0.57 eV/f.u.; energy = -5.79 eV/atom; magnetization = 1.12 Bohr magnetons per cell; space-group type = No. 25
1.0
2.822 0.000 0.000
0.000 4.380 0.000
0.000 0.000 4.100
Al Co As
1 2 1
Direct
0.000 0.000 0.000
0.000 0.500 0.277
0.500 0.000 0.495
0.500 0.500 0.761



(4)
RhS4Cl | Alexandria via LeMat-Bulk | GGA-PBE | optimized geometry; raw formation energy = 0.0829 eV/atom; energy = -4.20 eV/atom; magnetization = 0.01 Bohr magnetons per cell; space-group type = No. 15
1.0
3.574 -6.215 0.000
3.574 6.215 0.000
-2.246 0.000 6.237
Rh S Cl
2 8 2
Direct
0.014 0.986 0.750
0.986 0.014 0.250
0.162 0.832 0.025
0.168 0.838 0.475
0.170 0.289 0.075
0.289 0.170 0.575
0.711 0.830 0.425
0.830 0.711 0.925
0.832 0.162 0.525
0.838 0.168 0.975
0.357 0.643 0.750
0.643 0.357 0.250



(5)
NpCr3Ni2S6 | Alexandria via LeMat-Bulk | GGA-PBE | optimized geometry; raw formation energy = -0.5578 eV/atom; energy = -7.07 eV/atom; magnetization = 13.01 Bohr magnetons per cell; space-group type = No. 12
1.0
3.062 -5.301 0.000
3.062 5.301 0.000
-2.078 0.000 5.901
Np Cr Ni S
1 3 2 6
Direct
0.000 0.000 0.000
0.160 0.840 0.500
0.500 0.500 0.500
0.840 0.160 0.500
0.328 0.672 0.000
0.672 0.328 0.000
0.085 0.441 0.258
0.267 0.267 0.741
0.441 0.085 0.258
0.559 0.915 0.742
0.733 0.733 0.259
0.915 0.559 0.742



(6)
KLaNi2 | Alexandria via LeMat-Bulk | GGA-PBE | optimized geometry; distance to the lowest polymorph of the same formula = 156 meV per atom; formation enthalpy at 0 K = 0.65 eV/f.u.; energy = -4.23 eV/atom; magnetization = 0.04 Bohr magnetons per cell; space-group type = No. 123
1.0
3.685 0.000 0.000
0.000 3.685 0.000
0.000 0.000 7.607
K La Ni
1 1 2
Direct
0.000 0.000 0.000
0.000 0.000 0.500
0.500 0.500 0.330
0.500 0.500 0.670



(7)
LaHf2Ag | Alexandria via LeMat-Bulk | GGA-PBE | optimized geometry; distance to the lowest polymorph of the same formula = 0 meV per atom; formation enthalpy at 0 K = 1.41 eV/f.u.; energy = -6.57 eV/atom; magnetization = 0.00 Bohr magnetons per cell; space-group type = No. 225
1.0
0.000 3.542 3.542
3.542 0.000 3.542
3.542 3.542 0.000
La Hf Ag
1 2 1
Direct
0.000 0.000 0.000
0.250 0.250 0.250
0.750 0.750 0.750
0.500 0.500 0.500



(8)
EuAl2Co | Alexandria via LeMat-Bulk | GGA-PBE | optimized geometry; formation enthalpy at 0 K = -1.25 eV/f.u.; energy = -6.53 eV/atom; magnetization = 7.32 Bohr magnetons per cell; space-group type = No. 166
1.0
2.068 1.194 5.524
-2.068 1.194 5.524
0.000 -2.388 5.524
Eu Al Co
1 2 1
Direct
0.000 0.000 0.000
0.200 0.200 0.200
0.800 0.800 0.800
0.500 0.500 0.500



(9)
LuScCoTc | Alexandria via LeMat-Bulk | GGA-PBE | optimized geometry; formation enthalpy at 0 K = -0.48 eV/f.u.; energy = -7.20 eV/atom; magnetization = 0.53 Bohr magnetons per cell; space-group type = No. 216
1.0
0.000 3.252 3.252
3.252 0.000 3.252
3.252 3.252 0.000
Lu Sc Co Tc
1 1 1 1
Direct
0.000 0.000 0.000
0.500 0.500 0.500
0.750 0.750 0.750
0.250 0.250 0.250



(10)
La2PrY3Ho6 | Alexandria via LeMat-Bulk | GGA-PBE | optimized geometry; formation enthalpy at 0 K = 0.29 eV/f.u.; energy = -5.10 eV/atom; magnetization = 0.00 Bohr magnetons per cell; space-group type = No. 12
1.0
3.114 -5.393 0.000
3.114 5.393 0.000
-2.074 0.000 11.682
La Pr Y Ho
2 1 3 6
Direct
0.167 0.833 0.000
0.833 0.167 0.000
0.500 0.500 0.000
0.000 0.000 0.500
0.333 0.667 0.500
0.667 0.333 0.500
0.082 0.415 0.746
0.252 0.252 0.254
0.415 0.082 0.746
0.585 0.918 0.254
0.748 0.748 0.746
0.918 0.585 0.254



(11)
SrLiCa2Pt | Alexandria via LeMat-Bulk | GGA-PBE | optimized geometry; distance to the lowest polymorph of the same formula = 86 meV per atom; formation enthalpy at 0 K = -1.60 eV/f.u.; energy = -3.05 eV/atom; magnetization = 0.00 Bohr magnetons per cell; space-group type = No. 123
1.0
5.595 0.000 0.000
0.000 5.595 0.000
0.000 0.000 5.351
Sr Li Ca Pt
1 1 2 1
Direct
0.000 0.000 0.000
0.500 0.500 0.000
0.000 0.500 0.500
0.500 0.000 0.500
0.500 0.500 0.500



(12)
FeCo2Ni3 | Alexandria via LeMat-Bulk | GGA-PBE | optimized geometry; distance to the lowest polymorph of the same formula = 0 meV per atom; formation enthalpy at 0 K = -0.03 eV/f.u.; energy = -6.67 eV/atom; magnetization = 15.25 Bohr magnetons per cell; space-group type = No. 11
1.0
7.112 0.000 0.000
0.000 2.485 0.000
-0.045 0.000 7.474
Fe Co Ni
2 4 6
Direct
0.125 0.250 0.249
0.875 0.750 0.751
0.127 0.250 0.918
0.378 0.750 0.416
0.622 0.250 0.584
0.873 0.750 0.082
0.128 0.250 0.582
0.374 0.750 0.084
0.375 0.750 0.750
0.625 0.250 0.250
0.626 0.250 0.916
0.872 0.750 0.418



(13)
Ca2ZnPb | Alexandria via LeMat-Bulk | GGA-PBE | optimized geometry; formation enthalpy at 0 K = -1.76 eV/f.u.; energy = -2.69 eV/atom; magnetization = 0.00 Bohr magnetons per cell; space-group type = No. 225
1.0
0.000 3.819 3.819
3.819 0.000 3.819
3.819 3.819 0.000
Ca Zn Pb
2 1 1
Direct
0.250 0.250 0.250
0.750 0.750 0.750
0.000 0.000 0.000
0.500 0.500 0.500



(14)
Na3Pd4F12 | Alexandria via LeMat-Bulk | GGA-PBE | optimized geometry; raw formation energy = -1.6955 eV/atom; energy = -4.18 eV/atom; magnetization = 0.00 Bohr magnetons per cell; space-group type = No. 204
1.0
-4.111 4.111 4.111
4.111 -4.111 4.111
4.111 4.111 -4.111
Na Pd F
3 4 12
Direct
0.000 0.500 0.500
0.500 0.000 0.500
0.500 0.500 0.000
0.000 0.000 0.500
0.000 0.500 0.000
0.500 0.000 0.000
0.500 0.500 0.500
0.094 0.304 0.790
0.210 0.513 0.304
0.210 0.906 0.696
0.304 0.210 0.513
0.304 0.790 0.094
0.487 0.696 0.790
0.513 0.304 0.210
0.696 0.210 0.906
0.696 0.790 0.487
0.790 0.094 0.304
0.790 0.487 0.696
0.906 0.696 0.210



(15)
Zn2Co2Mo | Alexandria via LeMat-Bulk | GGA-PBE | optimized geometry; distance to the lowest polymorph of the same formula = 191 meV per atom; formation enthalpy at 0 K = 0.96 eV/f.u.; energy = -5.33 eV/atom; magnetization = 0.03 Bohr magnetons per cell; space-group type = No. 127
1.0
6.930 0.000 0.000
0.000 6.930 0.000
0.000 0.000 2.664
Zn Co Mo
4 4 2
Direct
0.123 0.377 0.000
0.377 0.877 0.000
0.623 0.123 0.000
0.877 0.623 0.000
0.177 0.677 0.500
0.323 0.177 0.500
0.677 0.823 0.500
0.823 0.323 0.500
0.000 0.000 0.000
0.500 0.500 0.000



(16)
Er3ZrCd2 | Alexandria via LeMat-Bulk | GGA-PBE | optimized geometry; formation enthalpy at 0 K = -1.13 eV/f.u.; energy = -4.20 eV/atom; magnetization = 0.00 Bohr magnetons per cell; space-group type = No. 123
1.0
3.455 0.000 0.000
0.000 3.455 0.000
0.000 0.000 13.013
Er Zr Cd
3 1 2
Direct
0.000 0.000 0.000
0.000 0.000 0.328
0.000 0.000 0.672
0.500 0.500 0.500
0.500 0.500 0.161
0.500 0.500 0.839



(17)
TaInBr2 | Alexandria via LeMat-Bulk | GGA-PBE | optimized geometry; distance to the lowest polymorph of the same formula = 247 meV per atom; raw formation energy = -0.0031 eV/atom; energy = -4.49 eV/atom; magnetization = 0.00 Bohr magnetons per cell; space-group type = No. 35
1.0
1.670 -3.055 0.000
1.670 3.055 0.000
0.000 0.000 10.123
Ta In Br
1 1 2
Direct
0.000 0.000 0.000
0.500 0.500 0.233
0.000 0.000 0.449
0.500 0.500 0.802



(18)
BaSrGaAs2 | Alexandria via LeMat-Bulk | GGA-PBE | optimized geometry; formation enthalpy at 0 K = -3.55 eV/f.u.; energy = -3.90 eV/atom; magnetization = 0.00 Bohr magnetons per cell; space-group type = No. 13
1.0
7.591 0.000 0.000
0.000 5.352 0.000
-2.177 0.000 8.257
Ba Sr Ga As
2 2 2 4
Direct
0.000 0.214 0.250
0.000 0.786 0.750
0.500 0.473 0.750
0.500 0.527 0.250
0.500 0.000 0.000
0.500 0.000 0.500
0.237 0.257 0.954
0.237 0.743 0.454
0.763 0.257 0.546
0.763 0.743 0.046



(19)
MnZn2Co | Alexandria via LeMat-Bulk | GGA-PBE | optimized geometry; distance to the lowest polymorph of the same formula = 65 meV per atom; formation enthalpy at 0 K = 0.09 eV/f.u.; energy = -4.68 eV/atom; magnetization = 4.37 Bohr magnetons per cell; space-group type = No. 25
1.0
2.962 0.000 0.000
0.000 2.978 0.000
0.000 0.000 5.981
Mn Zn Co
1 2 1
Direct
0.000 0.000 0.000
0.000 0.000 0.545
0.500 0.500 0.268
0.500 0.500 0.790



(20)
La3H12Au5 | Alexandria via LeMat-Bulk | GGA-PBE | optimized geometry; energy = -3.74 eV/atom; magnetization = 0.00 Bohr magnetons per cell; space-group type = No. 230
1.0
-6.333 6.333 6.333
6.333 -6.333 6.333
6.333 6.333 -6.333
La H Au
12 48 20
Direct
0.125 0.250 0.375
0.125 0.375 0.750
0.250 0.375 0.125
0.250 0.875 0.625
0.375 0.125 0.250
0.375 0.750 0.125
0.625 0.250 0.875
0.625 0.875 0.750
0.750 0.125 0.375
0.750 0.625 0.875
0.875 0.625 0.250
0.875 0.750 0.625
0.018 0.197 0.117
0.018 0.320 0.900
0.080 0.697 0.680
0.080 0.883 0.400
0.100 0.617 0.420
0.100 0.982 0.680
0.117 0.018 0.197
0.117 0.600 0.920
0.180 0.197 0.580
0.180 0.482 0.600
0.197 0.117 0.018
0.197 0.580 0.180
0.303 0.320 0.920
0.303 0.482 0.383
0.320 0.900 0.018
0.320 0.920 0.303
0.383 0.303 0.482
0.383 0.580 0.900
0.400 0.080 0.883
0.400 0.820 0.518
0.420 0.100 0.617
0.420 0.820 0.803
0.482 0.383 0.303
0.482 0.600 0.180
0.518 0.400 0.820
0.518 0.617 0.697
0.580 0.180 0.197
0.580 0.900 0.383
0.600 0.180 0.482
0.600 0.920 0.117
0.617 0.420 0.100
0.617 0.697 0.518
0.680 0.080 0.697
0.680 0.100 0.982
0.697 0.518 0.617
0.697 0.680 0.080
0.803 0.420 0.820
0.803 0.883 0.982
0.820 0.518 0.400
0.820 0.803 0.420
0.883 0.400 0.080
0.883 0.982 0.803
0.900 0.018 0.320
0.900 0.383 0.580
0.920 0.117 0.600
0.920 0.303 0.320
0.982 0.680 0.100
0.982 0.803 0.883
0.000 0.000 0.000
0.000 0.000 0.500
0.000 0.500 0.000
0.000 0.500 0.500
0.125 0.750 0.875
0.125 0.875 0.250
0.250 0.125 0.875
0.250 0.625 0.375
0.375 0.250 0.625
0.375 0.625 0.750
0.500 0.000 0.000
0.500 0.000 0.500
0.500 0.500 0.000
0.500 0.500 0.500
0.625 0.375 0.250
0.625 0.750 0.375
0.750 0.375 0.625
0.750 0.875 0.125
0.875 0.125 0.750
0.875 0.250 0.125



(21)
CrTeOs2 | Alexandria via LeMat-Bulk | GGA-PBE | optimized geometry; raw formation energy = 0.6994 eV/atom; energy = -8.11 eV/atom; magnetization = 0.76 Bohr magnetons per cell; space-group type = No. 166
1.0
1.465 0.846 8.589
-1.465 0.846 8.589
0.000 -1.692 8.589
Cr Te Os
1 1 2
Direct
0.000 0.000 0.000
0.500 0.500 0.500
0.259 0.259 0.259
0.741 0.741 0.741



(22)
La3ErPt8 | Alexandria via LeMat-Bulk | GGA-PBE | optimized geometry; formation enthalpy at 0 K = -13.22 eV/f.u.; energy = -6.74 eV/atom; magnetization = 0.00 Bohr magnetons per cell; space-group type = No. 160
1.0
2.761 1.594 9.021
-2.761 1.594 9.021
0.000 -3.188 9.021
La Er Pt
3 1 8
Direct
0.000 0.000 0.000
0.126 0.126 0.126
0.501 0.501 0.501
0.626 0.626 0.626
0.060 0.563 0.563
0.064 0.064 0.565
0.064 0.565 0.064
0.313 0.313 0.313
0.563 0.060 0.563
0.563 0.563 0.060
0.565 0.064 0.064
0.813 0.813 0.813